A geometry-optimized AcGeBiPt structure, computed with PBE.

Cell lengths 7.443, 7.443, 7.443 Å; angles 90.00, 90.00, 90.00 degrees
Space group F-43m (No. 216)
Asymmetric unit:
Ac (0.000, 0.000, 0.000) x4
Ge (0.250, 0.250, 0.250) x4
Bi (0.000, 0.000, 0.500) x4
Pt (0.250, 0.250, 0.750) x4

Its total DFT energy (no corrections) is -5.097 eV per atom. The formation energy is -0.435 eV/atom. The density comes out at 11.336 g cm⁻³.